(1)
A PBEsol-optimized structure of LiBe2In. Source: Alexandria, functional meta-GGA SCAN.

```
LiBe2In
1.0
-1.444 0.622 -2.577
-2.187 -3.196 0.455
-2.463 2.209 3.681
Be In Li
2 1 1
Direct
0.181 0.000 0.361 Be
0.069 0.500 0.138 Be
0.454 0.000 0.908 In
0.782 0.500 0.564 Li
```

Computed properties:
SG: Amm2 (38)

---

(2)
A PBEsol-optimized structure of Li2BeIn. Source: Alexandria, functional meta-GGA SCAN.

```
Li2BeIn
1.0
2.941 0.000 0.000
1.470 2.547 0.000
1.470 0.849 9.032
Be In Li
1 1 2
Direct
0.500 0.500 0.500 Be
0.000 0.000 0.000 In
0.243 0.243 0.272 Li
0.757 0.757 0.728 Li
```

Computed properties:
SG: R-3m (166)
Distance to the lowest polymorph of the same formula (eV per atom): 0.225

---

(3)
A PBEsol-optimized structure of Li2BeIn. Source: Alexandria, functional meta-GGA SCAN.

```
Li2BeIn
1.0
-1.526 -3.923 -1.054
2.184 -2.498 -2.796
2.031 -3.567 1.406
Be In Li
1 1 2
Direct
0.000 0.000 0.000 Be
0.500 0.500 0.500 In
0.250 0.250 0.250 Li
0.750 0.750 0.750 Li
```

Computed properties:
SG: Fm-3m (225)
Distance to the lowest polymorph of the same formula (eV per atom): 0.015

---

(4)
A PBEsol-optimized structure of MgBe2In. Source: Alexandria, functional meta-GGA SCAN.

```
MgBe2In
1.0
-0.662 1.935 -2.208
-2.372 1.833 0.267
3.799 6.963 2.912
Be Mg In
2 1 1
Direct
0.011 0.011 0.967 Be
0.738 0.738 0.787 Be
0.262 0.262 0.214 Mg
0.489 0.489 0.532 In
```

Computed properties:
SG: R3m (160)
Distance to the lowest polymorph of the same formula (eV per atom): 0.141

---

(5)
A PBEsol-optimized structure of MgBe2In. Source: Alexandria, functional meta-GGA SCAN.

```
MgBe2In
1.0
-2.602 1.173 0.432
-1.137 -1.808 -1.942
-1.329 -4.926 5.366
Be Mg In
2 1 1
Direct
0.000 0.000 0.050 Be
0.500 0.500 0.183 Be
0.500 0.500 0.807 Mg
0.000 0.000 0.459 In
```

Computed properties:
SG: P4mm (99)
Distance to the lowest polymorph of the same formula (eV per atom): 0.000

---

(6)
A PBEsol-optimized structure of MgBe2InRe. Source: Alexandria, functional meta-GGA SCAN.

```
MgBe2InRe
1.0
4.255 0.000 0.000
0.000 4.255 0.000
0.000 0.000 4.699
Re Mg Be In
1 1 2 1
Direct
0.000 0.000 0.500 Re
0.000 0.000 0.000 Mg
0.000 0.500 0.000 Be
0.500 0.000 0.000 Be
0.500 0.500 0.500 In
```

Computed properties:
SG: P4/mmm (123)

---

(7)
A PBEsol-optimized structure of MnBeIn. Source: Alexandria, functional meta-GGA SCAN.

```
MnBeIn
1.0
2.919 0.000 0.000
0.000 2.919 0.000
-1.459 -1.459 4.693
Be Mn In
1 1 1
Direct
0.032 0.032 0.064 Be
0.636 0.636 0.273 Mn
0.332 0.332 0.663 In
```

Computed properties:
SG: I4mm (107)

---

(8)
A PBEsol-optimized structure of BeTl2InMo. Source: Alexandria, functional meta-GGA SCAN.

```
BeTl2InMo
1.0
4.530 0.000 0.000
0.000 4.748 0.000
0.000 0.000 4.748
Be Tl Mo In
1 2 1 1
Direct
0.000 0.000 0.000 Be
0.000 0.000 0.500 Tl
0.000 0.500 0.000 Tl
0.500 0.000 0.000 Mo
0.500 0.500 0.500 In
```

Computed properties:
SG: P4/mmm (123)

---

(9)
A PBEsol-optimized structure of ZrBe2InMo. Source: Alexandria, functional meta-GGA SCAN.

```
ZrBe2InMo
1.0
4.463 0.000 0.000
0.000 4.463 0.000
0.000 0.000 4.764
Be Mo Zr In
2 1 1 1
Direct
0.000 0.500 0.000 Be
0.500 0.000 0.000 Be
0.000 0.000 0.000 Mo
0.000 0.000 0.500 Zr
0.500 0.500 0.500 In
```

Computed properties:
SG: P4/mmm (123)

---

(10)
A PBEsol-optimized structure of Na3BeIn. Source: Alexandria, functional meta-GGA SCAN.

```
Na3BeIn
1.0
-1.244 -1.264 -5.002
-0.928 -5.007 1.496
-5.075 1.225 0.953
Na Be In
3 1 1
Direct
0.000 0.500 0.000 Na
0.000 0.000 0.500 Na
0.500 0.000 0.000 Na
0.000 0.000 0.000 Be
0.500 0.500 0.500 In
```

Computed properties:
SG: Pm-3m (221)

---

(11)
A PBEsol-optimized structure of Be2NbIn. Source: Alexandria, functional meta-GGA SCAN.

```
Be2NbIn
1.0
-1.390 5.217 0.601
-3.744 -3.843 0.853
3.794 -0.880 3.787
Be Nb In
4 2 2
Direct
0.882 0.875 0.507 Be
0.368 0.375 0.493 Be
0.125 0.632 0.007 Be
0.625 0.118 0.993 Be
0.500 0.500 0.000 Nb
0.750 0.250 0.500 Nb
0.000 0.000 0.000 In
0.250 0.750 0.500 In
```

Computed properties:
SG: I-42d (122)

---

(12)
A PBEsol-optimized structure of BeInNi6. Source: Alexandria, functional meta-GGA SCAN.

```
BeInNi6
1.0
-1.521 3.737 -4.334
4.192 -4.541 -1.342
-7.990 -6.538 -2.833
Be In Ni
4 4 24
Direct
0.729 0.459 0.500 Be
0.271 0.541 0.500 Be
0.000 0.000 0.275 Be
0.000 0.000 0.725 Be
0.730 0.461 0.000 In
0.270 0.539 0.000 In
0.500 0.000 0.264 In
0.500 0.000 0.736 In
0.736 0.472 0.258 Ni
0.094 0.767 0.141 Ni
0.906 0.233 0.141 Ni
0.264 0.528 0.258 Ni
0.673 0.767 0.141 Ni
0.327 0.233 0.141 Ni
0.500 0.000 0.500 Ni
0.918 0.273 0.386 Ni
0.645 0.727 0.386 Ni
0.736 0.472 0.742 Ni
0.082 0.727 0.614 Ni
0.918 0.273 0.614 Ni
0.264 0.528 0.742 Ni
0.645 0.727 0.614 Ni
0.355 0.273 0.614 Ni
0.500 0.000 0.000 Ni
0.906 0.233 0.859 Ni
0.673 0.767 0.859 Ni
0.000 0.000 0.500 Ni
0.355 0.273 0.386 Ni
0.082 0.727 0.386 Ni
0.000 0.000 0.000 Ni
0.327 0.233 0.859 Ni
0.094 0.767 0.859 Ni
```

Computed properties:
SG: Cmmm (65)

---

Number 1: DFT total energy -10.912 eV per atom, calculated formation energy 0.21 eV/atom. Number 2: DFT total energy -10.407 eV per atom, calculated formation energy 0.22 eV/atom. Number 3: DFT total energy -10.617 eV per atom, calculated formation energy 0.01 eV/atom. Number 4: DFT total energy -11.306 eV per atom, calculated formation energy 0.46 eV/atom. Number 5: DFT total energy -11.447 eV per atom, calculated formation energy 0.32 eV/atom. Number 6: DFT total energy -22.005 eV per atom, calculated formation energy 1.63 eV/atom. Number 7: DFT total energy -18.496 eV per atom, calculated formation energy 0.17 eV/atom. Number 8: DFT total energy -42.693 eV per atom, calculated formation energy 0.78 eV/atom. Number 9: DFT total energy -20.708 eV per atom, calculated formation energy 0.83 eV/atom. Number 10: DFT total energy -9.531 eV per atom, calculated formation energy 0.55 eV/atom. Number 11: DFT total energy -18.308 eV per atom, calculated formation energy 0.50 eV/atom. Number 12: DFT total energy -16.897 eV per atom, calculated formation energy -0.05 eV/atom.